# 1
A plane-wave DFT calculation with GGA-PBE was carried out for Tl2Pd4Pb after structural relaxation.

## Properties
VASP energy: -4.3530 eV per atom
DFT formation energy: -0.18 eV per atom
energy above the lowest structure with this stoichiometry: 0.000 kcal/mol of atoms

a b c (Å): 10.6803 4.5266 11.5597
angles (deg): 90.00 90.00 90.00
Closest atoms and distances in Å follow each position.
Element x y z (fractional)
Tl1 0.0983 0.2500 0.0795  7 Pd 2.80-3.04
Tl2 0.0982 0.2500 0.5857  7 Pd 2.79-2.94
Tl3 0.4018 0.7500 0.0857  7 Pd 2.79-2.94
Tl4 0.4017 0.7500 0.5795  7 Pd 2.80-3.04
Tl5 0.5983 0.2500 0.4205  7 Pd 2.80-3.04
Tl6 0.5982 0.2500 0.9143  7 Pd 2.79-2.94
Tl7 0.9018 0.7500 0.4143  7 Pd 2.79-2.94
Tl8 0.9017 0.7500 0.9205  7 Pd 2.80-3.04
Pd1 0.0153 0.2500 0.3204  3 Tl 2.79-2.92, 2 Pb 2.84-3.05, 4 Pd 3.06-3.11
Pd2 0.0699 0.2500 0.8389  2 Pd 2.73-3.04, 2 Pb 2.77, 4 Tl 2.80-3.04
Pd3 0.1680 0.7500 0.4578  4 Tl 2.80-2.89, 2 Pd 2.81-3.12, 2 Pb 2.96
Pd4 0.1789 0.7500 0.2150  3 Pd 2.73-3.04, 3 Tl 2.81-2.88, 2 Pb 2.84
Pd5 0.3211 0.2500 0.7150  3 Pd 2.73-3.04, 3 Tl 2.81-2.88, 2 Pb 2.84
Pd6 0.3320 0.2500 0.9578  4 Tl 2.80-2.89, 2 Pd 2.81-3.12, 2 Pb 2.96
Pd7 0.4301 0.7500 0.3389  2 Pd 2.73-3.04, 2 Pb 2.77, 4 Tl 2.80-3.04
Pd8 0.4847 0.7500 0.8204  3 Tl 2.79-2.92, 2 Pb 2.84-3.05, 4 Pd 3.06-3.11
Pd9 0.5153 0.2500 0.1796  3 Tl 2.79-2.92, 2 Pb 2.84-3.05, 4 Pd 3.06-3.11
Pd10 0.5699 0.2500 0.6611  2 Pd 2.73-3.04, 2 Pb 2.77, 4 Tl 2.80-3.04
Pd11 0.6680 0.7500 0.0422  4 Tl 2.80-2.89, 2 Pd 2.81-3.12, 2 Pb 2.96
Pd12 0.6789 0.7500 0.2850  3 Pd 2.73-3.04, 3 Tl 2.81-2.88, 2 Pb 2.84
Pd13 0.8211 0.2500 0.7850  3 Pd 2.73-3.04, 3 Tl 2.81-2.88, 2 Pb 2.84
Pd14 0.8320 0.2500 0.5422  4 Tl 2.80-2.89, 2 Pd 2.81-3.12, 2 Pb 2.96
Pd15 0.9301 0.7500 0.1611  2 Pd 2.73-3.04, 2 Pb 2.77, 4 Tl 2.80-3.04
Pd16 0.9847 0.7500 0.6796  3 Tl 2.79-2.92, 2 Pb 2.84-3.05, 4 Pd 3.06-3.11
Pb1 0.2192 0.7500 0.8306  8 Pd 2.77-3.05
Pb2 0.2808 0.2500 0.3306  8 Pd 2.77-3.05
Pb3 0.7192 0.7500 0.6694  8 Pd 2.77-3.05
Pb4 0.7808 0.2500 0.1694  8 Pd 2.77-3.05



# 2
A plane-wave DFT calculation with GGA-PBE was carried out for TlPd12Pb6 after structural relaxation.

## Properties
VASP energy: -4.7461 eV per atom
DFT formation energy: -0.17 eV per atom

a b c (Å): 7.7052 7.7052 7.7052
angles (deg): 107.13 107.13 107.13
Closest atoms and distances in Å follow each position.
Element x y z (fractional)
Tl1 0.0000 0.0000 0.0000  6 Pd 2.81
Pd1 0.1303 0.8312 0.2611  1 Tl 2.81, 5 Pd 2.81-3.01, 4 Pb 2.92-3.05
Pd2 0.1688 0.7389 0.8697  1 Tl 2.81, 5 Pd 2.81-3.01, 4 Pb 2.92-3.05
Pd3 0.1779 0.5884 0.4658  4 Pb 2.76-2.93, 6 Pd 2.81-3.03
Pd4 0.2611 0.1303 0.8312  1 Tl 2.81, 5 Pd 2.81-3.01, 4 Pb 2.92-3.05
Pd5 0.4116 0.5342 0.8221  4 Pb 2.76-2.93, 6 Pd 2.81-3.03
Pd6 0.4658 0.1779 0.5884  4 Pb 2.76-2.93, 6 Pd 2.81-3.03
Pd7 0.5342 0.8221 0.4116  4 Pb 2.76-2.93, 6 Pd 2.81-3.03
Pd8 0.5884 0.4658 0.1779  4 Pb 2.76-2.93, 6 Pd 2.81-3.03
Pd9 0.7389 0.8697 0.1688  1 Tl 2.81, 5 Pd 2.81-3.01, 4 Pb 2.92-3.05
Pd10 0.8221 0.4116 0.5342  4 Pb 2.76-2.93, 6 Pd 2.81-3.03
Pd11 0.8312 0.2611 0.1303  1 Tl 2.81, 5 Pd 2.81-3.01, 4 Pb 2.92-3.05
Pd12 0.8697 0.1688 0.7389  1 Tl 2.81, 5 Pd 2.81-3.01, 4 Pb 2.92-3.05
Pb1 0.0881 0.2219 0.4895  8 Pd 2.76-3.05
Pb2 0.2219 0.4895 0.0881  8 Pd 2.76-3.05
Pb3 0.4895 0.0881 0.2219  8 Pd 2.76-3.05
Pb4 0.5105 0.9119 0.7781  8 Pd 2.76-3.05
Pb5 0.7781 0.5105 0.9119  8 Pd 2.76-3.05
Pb6 0.9119 0.7781 0.5105  8 Pd 2.76-3.05



# 3
A plane-wave DFT calculation with GGA-PBE was carried out for TlPd4Pb7 after structural relaxation.

## Properties
VASP energy: -4.1340 eV per atom
DFT formation energy: -0.04 eV per atom

a b c (Å): 7.5935 7.5935 9.0735
angles (deg): 121.35 121.35 44.87
Closest atoms and distances in Å follow each position.
Element x y z (fractional)
Tl1 0.0000 0.0000 0.0000  4 Pb 2.90-3.17
Pd1 0.2980 0.2980 0.6616  4 Pb 2.77-2.87, 1 Pd 2.95
Pd2 0.4805 0.4805 0.3056  5 Pb 2.81-3.05, 1 Pd 2.95
Pd3 0.5195 0.5195 0.6944  5 Pb 2.81-3.05, 1 Pd 2.95
Pd4 0.7020 0.7020 0.3384  4 Pb 2.77-2.87, 1 Pd 2.95
Pb1 0.0626 0.0626 0.3947  3 Pd 2.79-3.05
Pb2 0.2224 0.2224 0.8967  1 Pd 2.87
Pb3 0.2975 0.2975 0.3493  3 Pd 2.81-2.92
Pb4 0.5000 0.5000 0.0000  4 Pd 2.77-2.94, 2 Tl 2.90
Pb5 0.7025 0.7025 0.6507  3 Pd 2.81-2.92
Pb6 0.7776 0.7776 0.1033  1 Pd 2.87
Pb7 0.9374 0.9374 0.6053  3 Pd 2.79-3.05



# 4
A plane-wave DFT calculation with GGA-PBE was carried out for TlPdPb after structural relaxation.

## Properties
VASP energy: -3.9022 eV per atom
DFT formation energy: -0.15 eV per atom
energy above the lowest structure with this stoichiometry: 0.455 kcal/mol of atoms

a b c (Å): 6.7567 6.7567 6.7567
angles (deg): 90.00 90.00 90.00
Closest atoms and distances in Å follow each position.
Element x y z (fractional)
Tl1 0.0000 0.0000 0.0000  4 Pd 2.93
Tl2 0.0000 0.5000 0.5000  4 Pd 2.93
Tl3 0.5000 0.0000 0.5000  4 Pd 2.93
Tl4 0.5000 0.5000 0.0000  4 Pd 2.93
Pd1 0.2500 0.2500 0.2500  4 Pb 2.93, 4 Tl 2.93
Pd2 0.2500 0.7500 0.7500  4 Pb 2.93, 4 Tl 2.93
Pd3 0.7500 0.2500 0.7500  4 Pb 2.93, 4 Tl 2.93
Pd4 0.7500 0.7500 0.2500  4 Tl 2.93, 4 Pb 2.93
Pb1 0.0000 0.0000 0.5000  4 Pd 2.93
Pb2 0.0000 0.5000 0.0000  4 Pd 2.93
Pb3 0.5000 0.0000 0.0000  4 Pd 2.93
Pb4 0.5000 0.5000 0.5000  4 Pd 2.93



# 5
A plane-wave DFT calculation with GGA-PBE was carried out for Tl3Pd4Pb2 after structural relaxation.

## Properties
VASP energy: -4.0438 eV per atom
DFT formation energy: -0.12 eV per atom
energy above the lowest structure with this stoichiometry: 0.288 kcal/mol of atoms

a b c (Å): 5.8473 5.8473 9.4697
angles (deg): 105.38 105.38 42.48
Closest atoms and distances in Å follow each position.
Element x y z (fractional)
Tl1 0.0000 0.0000 0.0000  4 Pd 2.78
Tl2 0.3766 0.3766 0.5837  4 Pd 2.81-2.99
Tl3 0.6234 0.6234 0.4163  4 Pd 2.81-2.99
Pd1 0.1119 0.1119 0.6179  2 Pd 2.80-2.93, 2 Pb 2.85, 3 Tl 2.88-2.99
Pd2 0.3438 0.3438 0.8676  3 Tl 2.78-2.81, 3 Pb 2.82-2.92, 1 Pd 2.93
Pd3 0.6562 0.6562 0.1324  3 Tl 2.78-2.81, 3 Pb 2.82-2.92, 1 Pd 2.93
Pd4 0.8881 0.8881 0.3821  2 Pd 2.80-2.93, 2 Pb 2.85, 3 Tl 2.88-2.99
Pb1 0.3337 0.3337 0.1723  5 Pd 2.82-2.92
Pb2 0.6663 0.6663 0.8277  5 Pd 2.82-2.92



# 6
A plane-wave DFT calculation with GGA-PBE was carried out for TlPd6Pb3 after structural relaxation.

## Properties
VASP energy: -4.5970 eV per atom
DFT formation energy: -0.13 eV per atom
energy above the lowest structure with this stoichiometry: 0.968 kcal/mol of atoms

a b c (Å): 8.4346 8.4346 5.7819
angles (deg): 90.00 90.00 99.05
Closest atoms and distances in Å follow each position.
Element x y z (fractional)
Tl1 0.1947 0.8053 0.5000  6 Pd 2.83-2.97, 1 Pb 3.15
Tl2 0.8053 0.1947 0.0000  6 Pd 2.83-2.97, 1 Pb 3.15
Pd1 0.0083 0.9917 0.7739  4 Pb 2.80-2.86, 2 Tl 2.87-2.91, 3 Pd 2.90-2.98
Pd2 0.0265 0.4793 0.8687  2 Pb 2.79-2.84, 5 Pd 2.80-2.95, 1 Tl 2.90
Pd3 0.2145 0.7855 0.0118  2 Tl 2.83-2.97, 3 Pb 2.88-2.93, 5 Pd 2.93-2.98
Pd4 0.2715 0.4701 0.1919  4 Pb 2.75-2.95, 4 Pd 2.80-2.97
Pd5 0.4701 0.2715 0.6919  4 Pb 2.75-2.95, 4 Pd 2.80-2.97
Pd6 0.4793 0.0265 0.3687  2 Pb 2.79-2.84, 5 Pd 2.80-2.95, 1 Tl 2.90
Pd7 0.5207 0.9735 0.8687  2 Pb 2.79-2.84, 5 Pd 2.80-2.95, 1 Tl 2.90
Pd8 0.5299 0.7285 0.1919  4 Pb 2.75-2.95, 4 Pd 2.80-2.97
Pd9 0.7285 0.5299 0.6919  4 Pb 2.75-2.95, 4 Pd 2.80-2.97
Pd10 0.7855 0.2145 0.5118  2 Tl 2.83-2.97, 3 Pb 2.88-2.93, 5 Pd 2.93-2.98
Pd11 0.9735 0.5207 0.3687  2 Pb 2.79-2.84, 5 Pd 2.80-2.95, 1 Tl 2.90
Pd12 0.9917 0.0083 0.2739  4 Pb 2.80-2.86, 2 Tl 2.87-2.91, 3 Pd 2.90-2.98
Pb1 0.1361 0.2762 0.5459  7 Pd 2.75-2.95
Pb2 0.2762 0.1361 0.0459  7 Pd 2.75-2.95
Pb3 0.4093 0.5907 0.7647  5 Pd 2.85-2.88, 1 Tl 3.15
Pb4 0.5907 0.4093 0.2647  5 Pd 2.85-2.88, 1 Tl 3.15
Pb5 0.7238 0.8639 0.5459  7 Pd 2.75-2.95
Pb6 0.8639 0.7238 0.0459  7 Pd 2.75-2.95



# 7
A plane-wave DFT calculation with GGA-PBE was carried out for TlPd3Pb after structural relaxation.

## Properties
VASP energy: -4.4751 eV per atom
DFT formation energy: -0.14 eV per atom
energy above the lowest structure with this stoichiometry: 0.000 kcal/mol of atoms

a b c (Å): 4.3516 8.3988 5.8241
angles (deg): 90.00 90.00 90.00
Closest atoms and distances in Å follow each position.
Element x y z (fractional)
Tl1 0.0000 0.1193 0.0000  5 Pd 2.72-2.96
Tl2 0.0000 0.8807 0.5000  5 Pd 2.72-2.96
Pd1 0.0000 0.2029 0.4588  2 Tl 2.72-2.76, 2 Pb 2.74, 3 Pd 2.82-2.91
Pd2 0.0000 0.4629 0.9191  7 Pd 2.82-3.15, 4 Pb 2.83-3.08, 1 Tl 2.92
Pd3 0.0000 0.5371 0.4191  7 Pd 2.82-3.15, 4 Pb 2.83-3.08, 1 Tl 2.92
Pd4 0.0000 0.7971 0.9588  2 Tl 2.72-2.76, 2 Pb 2.74, 3 Pd 2.82-2.91
Pd5 0.5000 0.3244 0.1777  3 Pb 2.82-2.99, 6 Pd 2.89-3.15, 2 Tl 2.96
Pd6 0.5000 0.6756 0.6777  3 Pb 2.82-2.99, 6 Pd 2.89-3.15, 2 Tl 2.96
Pb1 0.5000 0.3399 0.6641  7 Pd 2.74-2.99
Pb2 0.5000 0.6601 0.1641  7 Pd 2.74-2.99



# 8
A plane-wave DFT calculation with GGA-PBE was carried out for Tl5Pd3Pb12 after structural relaxation.

## Properties
VASP energy: -3.4392 eV per atom
DFT formation energy: 0.16 eV per atom

a b c (Å): 15.2430 15.2430 15.2430
angles (deg): 109.47 109.47 109.47
Closest atoms and distances in Å follow each position.
Element x y z (fractional)
Tl1 0.0000 0.0000 0.0000  6 Pb 3.09
Tl2 0.0000 0.0000 0.5000  6 Pb 3.09
Tl3 0.0000 0.5000 0.0000  6 Pb 3.09
Tl4 0.0000 0.5000 0.5000  6 Pb 3.09
Tl5 0.1250 0.7500 0.8750  4 Pb 3.10
Tl6 0.1250 0.8750 0.2500  4 Pb 3.10
Tl7 0.2500 0.1250 0.8750  4 Pb 3.10
Tl8 0.2500 0.6250 0.3750  4 Pb 3.10
Tl9 0.3750 0.2500 0.6250  4 Pb 3.10
Tl10 0.3750 0.6250 0.7500  4 Pb 3.10
Tl11 0.5000 0.0000 0.0000  6 Pb 3.09
Tl12 0.5000 0.0000 0.5000  6 Pb 3.09
Tl13 0.5000 0.5000 0.0000  6 Pb 3.09
Tl14 0.5000 0.5000 0.5000  6 Pb 3.09
Tl15 0.6250 0.3750 0.2500  4 Pb 3.10
Tl16 0.6250 0.7500 0.3750  4 Pb 3.10
Tl17 0.7500 0.3750 0.6250  4 Pb 3.10
Tl18 0.7500 0.8750 0.1250  4 Pb 3.10
Tl19 0.8750 0.1250 0.7500  4 Pb 3.10
Tl20 0.8750 0.2500 0.1250  4 Pb 3.10
Pd1 0.1250 0.2500 0.3750  4 Pb 2.80
Pd2 0.1250 0.3750 0.7500  4 Pb 2.80
Pd3 0.2500 0.3750 0.1250  4 Pb 2.80
Pd4 0.2500 0.8750 0.6250  4 Pb 2.80
Pd5 0.3750 0.1250 0.2500  4 Pb 2.80
Pd6 0.3750 0.7500 0.1250  4 Pb 2.80
Pd7 0.6250 0.2500 0.8750  4 Pb 2.80
Pd8 0.6250 0.8750 0.7500  4 Pb 2.80
Pd9 0.7500 0.1250 0.3750  4 Pb 2.80
Pd10 0.7500 0.6250 0.8750  4 Pb 2.80
Pd11 0.8750 0.6250 0.2500  4 Pb 2.80
Pd12 0.8750 0.7500 0.6250  4 Pb 2.80
Pb1 0.0546 0.6316 0.3906  1 Pd 2.80, 2 Tl 3.09-3.10
Pb2 0.0546 0.9229 0.6639  1 Pd 2.80, 2 Tl 3.09-3.10
Pb3 0.0771 0.2410 0.1316  1 Pd 2.80, 2 Tl 3.09-3.10
Pb4 0.0771 0.3361 0.9454  1 Pd 2.80, 2 Tl 3.09-3.10
Pb5 0.1094 0.7410 0.6639  1 Pd 2.80, 2 Tl 3.09-3.10
Pb6 0.1094 0.8684 0.4454  1 Pd 2.80, 2 Tl 3.09-3.10
Pb7 0.1316 0.0771 0.2410  1 Pd 2.80, 2 Tl 3.09-3.10
Pb8 0.1316 0.5546 0.8906  1 Pd 2.80, 2 Tl 3.09-3.10
Pb9 0.1639 0.2410 0.6094  1 Pd 2.80, 2 Tl 3.09-3.10
Pb10 0.1639 0.4229 0.5546  1 Pd 2.80, 2 Tl 3.09-3.10
Pb11 0.2410 0.1316 0.0771  1 Pd 2.80, 2 Tl 3.09-3.10
Pb12 0.2410 0.6094 0.1639  1 Pd 2.80, 2 Tl 3.09-3.10
Pb13 0.2590 0.3361 0.8906  1 Pd 2.80, 2 Tl 3.09-3.10
Pb14 0.2590 0.4229 0.3684  1 Pd 2.80, 2 Tl 3.09-3.10
Pb15 0.3361 0.8906 0.2590  1 Pd 2.80, 2 Tl 3.09-3.10
Pb16 0.3361 0.9454 0.0771  1 Pd 2.80, 2 Tl 3.09-3.10
Pb17 0.3684 0.2590 0.4229  1 Pd 2.80, 2 Tl 3.09-3.10
Pb18 0.3684 0.6094 0.9454  1 Pd 2.80, 2 Tl 3.09-3.10
Pb19 0.3906 0.0546 0.6316  1 Pd 2.80, 2 Tl 3.09-3.10
Pb20 0.3906 0.8361 0.7590  1 Pd 2.80, 2 Tl 3.09-3.10
Pb21 0.4229 0.3684 0.2590  1 Pd 2.80, 2 Tl 3.09-3.10
Pb22 0.4229 0.5546 0.1639  1 Pd 2.80, 2 Tl 3.09-3.10
Pb23 0.4454 0.1094 0.8684  1 Pd 2.80, 2 Tl 3.09-3.10
Pb24 0.4454 0.8361 0.5771  1 Pd 2.80, 2 Tl 3.09-3.10
Pb25 0.5546 0.1639 0.4229  1 Pd 2.80, 2 Tl 3.09-3.10
Pb26 0.5546 0.8906 0.1316  1 Pd 2.80, 2 Tl 3.09-3.10
Pb27 0.5771 0.4454 0.8361  1 Pd 2.80, 2 Tl 3.09-3.10
Pb28 0.5771 0.6316 0.7410  1 Pd 2.80, 2 Tl 3.09-3.10
Pb29 0.6094 0.1639 0.2410  1 Pd 2.80, 2 Tl 3.09-3.10
Pb30 0.6094 0.9454 0.3684  1 Pd 2.80, 2 Tl 3.09-3.10
Pb31 0.6316 0.3906 0.0546  1 Pd 2.80, 2 Tl 3.09-3.10
Pb32 0.6316 0.7410 0.5771  1 Pd 2.80, 2 Tl 3.09-3.10
Pb33 0.6639 0.0546 0.9229  1 Pd 2.80, 2 Tl 3.09-3.10
Pb34 0.6639 0.1094 0.7410  1 Pd 2.80, 2 Tl 3.09-3.10
Pb35 0.7410 0.5771 0.6316  1 Pd 2.80, 2 Tl 3.09-3.10
Pb36 0.7410 0.6639 0.1094  1 Pd 2.80, 2 Tl 3.09-3.10
Pb37 0.7590 0.3906 0.8361  1 Pd 2.80, 2 Tl 3.09-3.10
Pb38 0.7590 0.8684 0.9229  1 Pd 2.80, 2 Tl 3.09-3.10
Pb39 0.8361 0.5771 0.4454  1 Pd 2.80, 2 Tl 3.09-3.10
Pb40 0.8361 0.7590 0.3906  1 Pd 2.80, 2 Tl 3.09-3.10
Pb41 0.8684 0.4454 0.1094  1 Pd 2.80, 2 Tl 3.09-3.10
Pb42 0.8684 0.9229 0.7590  1 Pd 2.80, 2 Tl 3.09-3.10
Pb43 0.8906 0.1316 0.5546  1 Pd 2.80, 2 Tl 3.09-3.10
Pb44 0.8906 0.2590 0.3361  1 Pd 2.80, 2 Tl 3.09-3.10
Pb45 0.9229 0.6639 0.0546  1 Pd 2.80, 2 Tl 3.09-3.10
Pb46 0.9229 0.7590 0.8684  1 Pd 2.80, 2 Tl 3.09-3.10
Pb47 0.9454 0.0771 0.3361  1 Pd 2.80, 2 Tl 3.09-3.10
Pb48 0.9454 0.3684 0.6094  1 Pd 2.80, 2 Tl 3.09-3.10